SiHg2Te | PBEsol | optimized geometry

Polymorph energy (0 for the lowest one) (eV/atom): 0.077
ΔE_f (raw) (eV per atom): 0.368
Density (g/cm3): 10.0
Total magnetization (μB per formula unit): 0.00
VASP energy (eV per atom): -2.2332
SG: R-3m (166)

Cell and atoms, written as extended XYZ:
```
12
Lattice="3.1486 0.0000 0.0000 -1.5743 2.7268 0.0000 0.0000 0.0000 32.1860" Properties=species:S:1:pos:R:3 pbc="T T T"
Si 0.0000 0.0000 0.0000
Si 0.0000 1.8178 21.4574
Si 1.5743 0.9089 10.7287
Hg 0.0000 0.0000 8.3706
Hg 0.0000 0.0000 23.8154
Hg 0.0000 1.8178 13.0867
Hg 0.0000 1.8178 29.8279
Hg 1.5743 0.9089 2.3581
Hg 1.5743 0.9089 19.0993
Te 0.0000 0.0000 16.0930
Te 0.0000 1.8178 5.3643
Te 1.5743 0.9089 26.8217
```